Density functional theory data (GGA-PBE) for a relaxed structure of DyHo6Tm12.

Results
- energy of formation (eV per formula unit) = 3.14
- E_tot (eV/atom) = -4.347
- energy above the most stable polymorph in this dataset (eV per atom) = 0.0000

Cell: 8.403 8.403 8.403 Å, 88.15 88.15 88.15°
Fractional coordinates of all 19 atoms:
Dy  0.000  0.000  0.000
Ho  0.746  0.910  0.315
Ho  0.685  0.254  0.090
Ho  0.090  0.685  0.254
Ho  0.254  0.090  0.685
Ho  0.315  0.746  0.910
Ho  0.910  0.315  0.746
Tm  0.772  0.545  0.437
Tm  0.437  0.772  0.545
Tm  0.545  0.437  0.772
Tm  0.228  0.455  0.563
Tm  0.563  0.228  0.455
Tm  0.455  0.563  0.228
Tm  0.008  0.214  0.354
Tm  0.786  0.646  0.992
Tm  0.646  0.992  0.786
Tm  0.992  0.786  0.646
Tm  0.214  0.354  0.008
Tm  0.354  0.008  0.214